VASP calculation (PBE) on an optimized crystal structure of K2ZrHg.

Structure (POSCAR):
```
K2ZrHg
1.0
-5.312 -5.421 1.593
1.771 -7.480 1.027
-0.033 7.561 1.723
Hg K Zr
1 2 1
direct
0.271 0.771 0.500 Hg
0.039 0.039 0.000 K
0.743 0.243 0.500 K
0.448 0.448 0.000 Zr
```

Computed properties:
- M_tot: 1.11 μB per cell
- SG: Imm2 (44)
- Energy: -9.0 eV/cell
- N(E_F): 4.32 states/eV/f.u.

VASP calculation (PBE) on an optimized crystal structure of K3ZrHg.

Structure (POSCAR):
```
K3ZrHg
1.0
6.425 0.000 0.000
0.000 6.425 0.000
0.000 0.000 6.425
K Hg Zr
3 1 1
direct
0.000 0.500 0.000 K
0.000 0.000 0.500 K
0.500 0.000 0.000 K
0.000 0.000 0.000 Hg
0.500 0.500 0.500 Zr
```

Computed properties:
- M_tot: 3.59 μB per cell
- SG: Pm-3m (221)
- Energy: -7.9 eV/cell
- N(E_F): 10.09 states/eV/f.u.

VASP calculation (PBE) on an optimized crystal structure of K2ZrHg.

Structure (POSCAR):
```
K2ZrHg
1.0
6.432 0.000 0.000
0.000 3.305 0.006
0.000 0.308 5.801
Hg K Zr
1 2 1
direct
0.500 0.750 0.750 Hg
0.000 0.989 0.992 K
0.000 0.511 0.508 K
0.500 0.250 0.250 Zr
```

Computed properties:
- M_tot: 1.37 μB per cell
- SG: P2/m (10)
- Energy: -8.8 eV/cell
- N(E_F): 3.61 states/eV/f.u.

VASP calculation (PBE) on an optimized crystal structure of K2ZrHg.

Structure (POSCAR):
```
K2ZrHg
1.0
-3.623 9.579 1.752
-9.676 -3.331 -1.800
-6.964 2.476 2.868
K Hg Zr
4 2 2
direct
0.692 0.125 0.250 K
0.058 0.625 0.250 K
0.375 0.308 0.750 K
0.875 0.942 0.750 K
0.000 0.000 0.000 Hg
0.750 0.250 0.500 Hg
0.500 0.500 0.000 Zr
0.250 0.750 0.500 Zr
```

Computed properties:
- M_tot: 4.76 μB per cell
- SG: I-42d (122)
- Energy: -16.2 eV/cell
- N(E_F): 4.97 states/eV/f.u.